Density functional theory data (GGA+U) for Li6VSb3P6O24 after structural relaxation.

Values from the calculation:
* E: -6.660 eV per atom
* crystal system: triclinic
* volume: 12.73 Å³/atom
* DOS at the Fermi energy: 0.0000 states/eV per atom

a = 8.820 Å, b = 8.805 Å, c = 8.923 Å
α = 63.41°, β = 61.05°, γ = 60.99°
Fractional coordinates of all 40 atoms:
Li 0.280 0.881 0.634
Li 0.023 0.733 0.150
Li 0.102 0.328 0.829
Li 0.460 0.669 0.333
Li 0.578 0.294 0.682
Li 0.782 0.144 0.029
Sb 0.163 0.136 0.171
Sb 0.348 0.352 0.384
Sb 0.687 0.606 0.649
V 0.847 0.845 0.857
O 0.239 0.601 0.459
O 0.428 0.227 0.614
O 0.212 0.393 0.921
O 0.567 0.757 0.431
O 0.786 0.612 0.988
O 0.451 0.532 0.749
O 0.120 0.737 0.841
O 0.048 0.316 0.657
O 0.882 0.087 0.800
O 0.949 0.677 0.406
O 0.254 0.537 0.084
O 0.259 0.069 0.931
O 0.804 0.365 0.554
O 0.579 0.447 0.259
O 0.091 0.908 0.274
O 0.603 0.012 0.812
O 0.566 0.090 0.274
O 0.126 0.104 0.494
O 0.666 0.420 0.952
O 0.457 0.895 0.706
O 0.904 0.264 0.089
O 0.437 0.934 0.196
O 0.934 0.811 0.615
O 0.780 0.860 0.110
P 0.586 0.916 0.254
P 0.442 0.039 0.768
P 0.048 0.751 0.445
P 0.970 0.215 0.624
P 0.735 0.441 0.068
P 0.258 0.547 0.907